{
  "formula": "U2VF8",
  "functional": "PBE with a Hubbard U",
  "state": "relaxed",
  "lattice": [[3.9570, 0.0000, 0.0000], [-1.9785, 6.3834, -1.4431], [0.0000, -0.2279, 7.4547]],
  "species": ["V", "U", "U", "F", "F", "F", "F", "F", "F", "F", "F"],
  "frac_coords": [[0.5000, 0.0000, 0.0000], [0.2717, 0.5435, 0.2673], [0.7283, 0.4565, 0.7327], [0.9109, 0.8219, 0.8867], [0.0891, 0.1781, 0.1133], [0.2696, 0.5393, 0.9090], [0.7304, 0.4607, 0.0910], [0.5612, 0.1223, 0.7676], [0.1875, 0.3750, 0.5338], [0.4388, 0.8777, 0.2324], [0.8125, 0.6250, 0.4662]],
  "magnetic_moment_mub_per_fu": 9.0,
  "e_tot_ry_per_atom": -0.5274,
  "space_group": "C2/m (12)",
  "mass_density_kg_m3": 6029,
  "dos_at_fermi_per_ev_fu": 9.49
}